Entry from Alexandria: a relaxed GeAs2PtAu crystal (PBE-GGA).

The structure belongs to space group P4/mmm (No. 123); the cell edges are 4.915, 4.915 and 5.128 Å and the angles 90.00°, 90.00° and 90.00°. The inequivalent atoms are Ge at (0.000, 0.000, 0.000), As at (0.000, 0.500, 0.500), Pt at (0.500, 0.500, 0.000) and Au at (0.500, 0.500, 0.500).

Its total magnetic moment is 0.00 μB per cell. The calculated density is 8.2 Mg/m³. The formation energy from the elements comes out at 0.95 eV/atom. Its electronic total energy is -3.698 eV/atom.

=====

Entry from Alexandria: a relaxed MgIrPb3 crystal (PBE-GGA).

The structure belongs to space group Pm-3m (No. 221); the cell edges are 5.290, 5.290 and 5.290 Å and the angles 90.00°, 90.00° and 90.00°. The inequivalent atoms are Mg at (0.000, 0.000, 0.000), Ir at (0.500, 0.500, 0.500) and Pb at (0.000, 0.000, 0.500).

Its total magnetic moment is 0.00 μB per cell. The calculated density is 9.4 Mg/m³. The formation energy from the elements comes out at 1.15 eV/atom. Its electronic total energy is -3.161 eV/atom.

=====

Entry from Alexandria: a relaxed LiHgCl crystal (PBE-GGA).

The structure belongs to space group F-43m (No. 216); the cell edges are 6.756, 6.756 and 6.756 Å and the angles 90.00°, 90.00° and 90.00°. The inequivalent atoms are Li at (0.000, 0.000, 0.000), Hg at (0.250, 0.250, 0.750) and Cl at (0.250, 0.250, 0.250).

Its total magnetic moment is 0.00 μB per cell. The calculated density is 5.2 Mg/m³. The energy relative to the elements, uncorrected comes out at -242 kJ/mol of formula units. Its energy relative to the lowest polymorph listed for this composition is 0.90 eV/f.u. Its electronic total energy is -2.192 eV/atom.

=====

Entry from Alexandria: a relaxed FePt2Br crystal (PBE-GGA).

The structure belongs to space group Cm (No. 8); the cell edges are 8.678, 2.956 and 6.461 Å and the angles 90.00°, 99.12° and 90.00°. The inequivalent atoms are Fe at (0.000, 0.000, 0.000), Pt at (0.232, 0.500, 0.143), Pt at (0.480, 0.000, 0.330) and Br at (0.392, 0.000, 0.698).

Its total magnetic moment is 7.10 μB per cell. The calculated density is 10.7 Mg/m³. The energy relative to the elements, uncorrected comes out at 84 kJ/mol of formula units. Its energy relative to the lowest polymorph listed for this composition is 0.17 eV/f.u. Its electronic total energy is -5.338 eV/atom.

=====

Entry from Alexandria: a relaxed LaAg2Au crystal (PBE-GGA).

The structure belongs to space group R-3m (No. 166, hexagonal axes); the cell edges are 3.2016, 3.2016 and 29.9006 Å and the angles 90.00°, 90.00° and 120.00°. The inequivalent atoms are La at (0.0000, 0.0000, 0.0000), Ag at (0.0000, 0.0000, 0.2411) and Au at (0.0000, 0.0000, 0.5000).

Its total magnetic moment is 2.26 μB per cell. The calculated density is 10.4 Mg/m³. The formation energy from the elements comes out at 0.09 eV/atom. Its energy relative to the lowest polymorph listed for this composition is 2.06 eV/f.u. Its electronic total energy is -3.384 eV/atom.

=====

Entry from Alexandria: a relaxed TlTc2Sb crystal (PBE-GGA).

The structure belongs to space group P4mm (No. 99); the cell edges are 3.053, 3.053 and 8.678 Å and the angles 90.00°, 90.00° and 90.00°. The inequivalent atoms are Tl at (0.000, 0.000, 0.000), Tc at (0.000, 0.000, 0.582), Tc at (0.500, 0.500, 0.755) and Sb at (0.500, 0.500, 0.359).

Its total magnetic moment is 0.00 μB per cell. The calculated density is 10.7 Mg/m³. The energy relative to the elements, uncorrected comes out at 87 kJ/mol of formula units. Its energy relative to the lowest polymorph listed for this composition is 0.00 eV/f.u. Its electronic total energy is -6.580 eV/atom.

=====

Entry from Alexandria: a relaxed CaYBr2 crystal (PBE-GGA).

The structure belongs to space group Immm (No. 71); the cell edges are 3.684, 6.876 and 9.741 Å and the angles 90.00°, 90.00° and 90.00°. The inequivalent atoms are Ca at (0.000, 0.000, 0.000), Y at (0.000, 0.000, 0.500) and Br at (0.000, 0.500, 0.234).

Its total magnetic moment is 0.00 μB per cell. The calculated density is 3.9 Mg/m³. The energy relative to the elements, uncorrected comes out at -397 kJ/mol of formula units. Its energy relative to the lowest polymorph listed for this composition is 0.89 eV/f.u. Its electronic total energy is -3.980 eV/atom.

=====

Entry from Alexandria: a relaxed Ac3GeO6F2 crystal (PBE-GGA).

The structure belongs to space group C2/m (No. 12); the cell edges are 11.855, 7.058 and 5.336 Å and the angles 90.00°, 92.81° and 90.00°. The inequivalent atoms are Ac at (0.000, 0.000, 0.000), Ac at (0.250, 0.250, 0.500), Ge at (0.000, 0.500, 0.500), O at (0.056, 0.272, 0.296), O at (0.142, 0.500, 0.678) and F at (0.185, 0.000, 0.800).

Its total magnetic moment is 2.04 μB per cell. The calculated density is 6.6 Mg/m³. The energy relative to the elements, uncorrected comes out at -2993 kJ/mol of formula units. Its electronic total energy is -6.788 eV/atom.

=====

Entry from Alexandria: a relaxed TaPt3Cl crystal (PBE-GGA).

The structure belongs to space group Pm-3m (No. 221); the cell edges are 4.522, 4.522 and 4.522 Å and the angles 90.00°, 90.00° and 90.00°. The inequivalent atoms are Ta at (0.000, 0.000, 0.000), Pt at (0.000, 0.500, 0.500) and Cl at (0.500, 0.500, 0.500).

Its total magnetic moment is 1.57 μB per cell. The calculated density is 14.4 Mg/m³. The energy relative to the elements, uncorrected comes out at 557 kJ/mol of formula units. Its energy relative to the lowest polymorph listed for this composition is 0.61 eV/f.u. Its electronic total energy is -5.210 eV/atom.

=====

Entry from Alexandria: a relaxed TaZnIn2 crystal (PBE-GGA).

The structure belongs to space group Fmmm (No. 69); the cell edges are 5.759, 5.769 and 9.266 Å and the angles 90.00°, 90.00° and 90.00°. The inequivalent atoms are Ta at (0.000, 0.000, 0.000), Zn at (0.000, 0.000, 0.500) and In at (0.250, 0.250, 0.250).

Its total magnetic moment is 0.00 μB per cell. The calculated density is 10.3 Mg/m³. The formation energy from the elements comes out at 0.19 eV/atom. Its electronic total energy is -4.459 eV/atom.

=====

Entry from Alexandria: a relaxed TeAsIr2 crystal (PBE-GGA).

The structure belongs to space group R-3m (No. 166, hexagonal axes); the cell edges are 3.1888, 3.1888 and 23.9563 Å and the angles 90.00°, 90.00° and 120.00°. The inequivalent atoms are Te at (0.0000, 0.0000, 0.0000), As at (0.0000, 0.0000, 0.5000) and Ir at (0.0000, 0.0000, 0.2421).

Its total magnetic moment is 0.00 μB per cell. The calculated density is 13.9 Mg/m³. The energy relative to the elements, uncorrected comes out at 129 kJ/mol of formula units. Its energy relative to the lowest polymorph listed for this composition is 1.87 eV/f.u. Its electronic total energy is -6.043 eV/atom.

=====

Entry from Alexandria: a relaxed HgSb3Br crystal (PBE-GGA).

The structure belongs to space group Pm-3m (No. 221); the cell edges are 5.592, 5.592 and 5.592 Å and the angles 90.00°, 90.00° and 90.00°. The inequivalent atoms are Hg at (0.000, 0.000, 0.000), Sb at (0.000, 0.500, 0.500) and Br at (0.500, 0.500, 0.500).

Its total magnetic moment is 0.00 μB per cell. The calculated density is 6.1 Mg/m³. The energy relative to the elements, uncorrected comes out at 442 kJ/mol of formula units. Its energy relative to the lowest polymorph listed for this composition is 0.84 eV/f.u. Its electronic total energy is -1.953 eV/atom.

=====

Entry from Alexandria: a relaxed Tl4InTe3 crystal (PBE-GGA).

The structure belongs to space group Cc (No. 9); the cell edges are 15.708, 7.294 and 11.136 Å and the angles 90.00°, 100.16° and 90.00°. The inequivalent atoms are Tl at (0.000, 0.044, 0.000), Tl at (0.240, 0.230, 0.520), Tl at (0.245, 0.245, 0.110), Tl at (0.445, 0.175, 0.747), In at (0.116, 0.374, 0.780), Te at (0.063, 0.492, 0.515), Te at (0.114, 0.031, 0.287) and Te at (0.300, 0.466, 0.836).

Its total magnetic moment is 0.00 μB per cell. The calculated density is 7.0 Mg/m³. The energy relative to the elements, uncorrected comes out at -204 kJ/mol of formula units. Its electronic total energy is -2.968 eV/atom.

=====

Entry from Alexandria: a relaxed Mn2BeIn crystal (PBE-GGA).

The structure belongs to space group Imm2 (No. 44); the cell edges are 2.967, 4.336 and 8.770 Å and the angles 90.00°, 90.00° and 90.00°. The inequivalent atoms are Mn at (0.000, 0.000, 0.000), Mn at (0.000, 0.500, 0.235), Be at (0.000, 0.500, 0.712) and In at (0.000, 0.000, 0.457).

Its total magnetic moment is 11.60 μB per cell. The calculated density is 6.9 Mg/m³. The formation energy from the elements comes out at 0.31 eV/atom. Its energy relative to the lowest polymorph listed for this composition is 0.60 eV/f.u. Its electronic total energy is -5.894 eV/atom.

=====

Entry from Alexandria: a relaxed MnCrC crystal (PBE-GGA).

The structure belongs to space group R3m (No. 160, hexagonal axes); the cell edges are 2.7685, 2.7685 and 12.8744 Å and the angles 90.00°, 90.00° and 120.00°. The inequivalent atoms are Mn at (0.0000, 0.0000, 0.0000), Cr at (0.0000, 0.0000, 0.4939) and C at (0.0000, 0.0000, 0.2502).

Its total magnetic moment is 0.00 μB per cell. The calculated density is 6.9 Mg/m³. The formation energy from the elements comes out at 0.01 eV/atom. Its energy relative to the lowest polymorph listed for this composition is 0.00 eV/f.u. Its electronic total energy is -9.331 eV/atom.

=====

Entry from Alexandria: a relaxed KIrW2S8 crystal (PBE-GGA).

The structure belongs to space group R-3 (No. 148, hexagonal axes); the cell edges are 6.1602, 6.1602 and 27.7163 Å and the angles 90.00°, 90.00° and 120.00°. The inequivalent atoms are K at (0.0000, 0.0000, 0.0000), Ir at (0.0000, 0.0000, 0.5000), W at (0.0000, 0.0000, 0.2406), S at (0.0000, 0.0000, 0.3193) and S at (0.0030, 0.3116, 0.5514).

Its total magnetic moment is 0.00 μB per cell. The calculated density is 4.7 Mg/m³. The energy relative to the elements, uncorrected comes out at -532 kJ/mol of formula units. Its electronic total energy is -6.200 eV/atom.

=====

Entry from Alexandria: a relaxed Ba3In2Sb4 crystal (PBE-GGA).

The structure belongs to space group Pnnm (No. 58); the cell edges are 7.806, 18.459 and 4.908 Å and the angles 90.00°, 90.00° and 90.00°. The inequivalent atoms are Ba at (0.000, 0.000, 0.000), Ba at (0.192, 0.301, 0.500), In at (0.138, 0.586, 0.000), Sb at (0.231, 0.432, 0.000) and Sb at (0.238, 0.164, 0.000).

Its total magnetic moment is 0.00 μB per cell. The calculated density is 5.3 Mg/m³. The energy relative to the elements, uncorrected comes out at -633 kJ/mol of formula units. Its energy relative to the lowest polymorph listed for this composition is 0.00 eV/f.u. Its electronic total energy is -3.810 eV/atom.

=====

Entry from Alexandria: a relaxed CsRe3P crystal (PBE-GGA).

The structure belongs to space group Pm-3m (No. 221); the cell edges are 4.930, 4.930 and 4.930 Å and the angles 90.00°, 90.00° and 90.00°. The inequivalent atoms are Cs at (0.000, 0.000, 0.000), Re at (0.000, 0.000, 0.500) and P at (0.500, 0.500, 0.500).

Its total magnetic moment is 3.00 μB per cell. The calculated density is 10.0 Mg/m³. The formation energy from the elements comes out at 4.39 eV/atom. Its energy relative to the lowest polymorph listed for this composition is 13.17 eV/f.u. Its electronic total energy is -4.327 eV/atom.

=====

Entry from Alexandria: a relaxed SrUTe crystal (PBE-GGA).

The structure belongs to space group Fmmm (No. 69); the cell edges are 6.290, 6.597 and 19.107 Å and the angles 90.00°, 90.00° and 90.00°. The inequivalent atoms are Sr at (0.000, 0.000, 0.167), U at (0.000, 0.187, 0.500) and Te at (0.000, 0.000, 0.344).

Its total magnetic moment is 22.25 μB per cell. The calculated density is 7.6 Mg/m³. The energy relative to the elements, uncorrected comes out at -137 kJ/mol of formula units. Its electronic total energy is -5.844 eV/atom.

=====

Entry from Alexandria: a relaxed SrPm2TmS4 crystal (PBE-GGA).

The structure belongs to space group P2/m (No. 10); the cell edges are 6.984, 4.005 and 7.023 Å and the angles 90.00°, 108.97° and 90.00°. The inequivalent atoms are Sr at (0.000, 0.000, 0.000), Pm at (0.000, 0.500, 0.500), Pm at (0.500, 0.000, 0.500), Tm at (0.500, 0.500, 0.000), S at (0.263, 0.500, 0.249) and S at (0.265, 0.000, 0.761).

Its total magnetic moment is 0.00 μB per cell. The calculated density is 6.0 Mg/m³. The energy relative to the elements, uncorrected comes out at -1538 kJ/mol of formula units. Its electronic total energy is -6.013 eV/atom.